Record 1
A plane-wave DFT calculation with GGA-PBE was carried out for an optimized crystal structure of Pr3Cu2Pd3.

The calculated volume is 22.06 Å³/atom. The calculation puts the density of states at the Fermi level at 19.0 states/eV/cell. The value obtained for the calculated total energy is -170.7 eV per cell.

The space group is Cmcm (No. 63) and the conventional cell measures 4.326, 10.851 and 15.038 Å, with angles of 90.00, 90.00 and 90.00 degrees. The distinct sites, in fractional coordinates, are Pr at (0.000, 0.094, 0.102), Pr at (0.000, 0.368, 0.250), Cu at (0.000, 0.207, 0.604), Pd at (0.000, 0.345, 0.750) and Pd at (0.000, 0.387, 0.043).

Record 2
A plane-wave DFT calculation with GGA-PBE was carried out for an optimized crystal structure of CePm2DyRh2.

The calculated volume is 26.50 Å³/atom. The calculation puts the density of states at the Fermi level at 36.9 states/eV/cell. The value obtained for the calculated total energy is -150.7 eV per cell.

The space group is Ibam (No. 72) and the conventional cell measures 6.807, 13.852 and 6.745 Å, with angles of 90.00, 90.00 and 90.00 degrees. The distinct sites, in fractional coordinates, are Ce at (0.000, 0.000, 0.250), Pm at (0.224, 0.192, 0.000), Dy at (0.000, 0.500, 0.250) and Rh at (0.233, 0.109, 0.500).

Record 3
A plane-wave DFT calculation with GGA-PBE was carried out for an optimized crystal structure of AgGe2W.

The calculated volume is 16.68 Å³/atom. The calculation puts the density of states at the Fermi level at 16.8 states/eV/cell. The value obtained for the calculated total energy is -90.6 eV per cell. Its offset from the most stable computed form is 0.000 eV/f.u.

The space group is Fm-3m (No. 225) and the conventional cell measures 6.438, 6.438 and 6.438 Å, with angles of 90.00, 90.00 and 90.00 degrees. The distinct sites, in fractional coordinates, are Ag at (0.000, 0.000, 0.000), Ge at (0.250, 0.250, 0.250) and W at (0.000, 0.000, 0.500).

Record 4
A plane-wave DFT calculation with GGA-PBE was carried out for an optimized crystal structure of LiAl2Ni.

The calculated volume is 12.74 Å³/atom. The calculation puts the density of states at the Fermi level at 4.5 states/eV/cell. The value obtained for the calculated total energy is -68.2 eV per cell.

The space group is Fm-3m (No. 225) and the conventional cell measures 5.885, 5.885 and 5.885 Å, with angles of 90.00, 90.00 and 90.00 degrees. The distinct sites, in fractional coordinates, are Li at (0.000, 0.000, 0.000), Al at (0.250, 0.250, 0.250) and Ni at (0.000, 0.000, 0.500).

Record 5
A plane-wave DFT calculation with GGA-PBE was carried out for an optimized crystal structure of LuThGePd.

The calculated volume is 23.01 Å³/atom. The calculation puts the density of states at the Fermi level at 17.8 states/eV/cell. The value obtained for the calculated total energy is -97.3 eV per cell.

The space group is F-43m (No. 216) and the conventional cell measures 7.167, 7.167 and 7.167 Å, with angles of 90.00, 90.00 and 90.00 degrees. The distinct sites, in fractional coordinates, are Lu at (0.000, 0.000, 0.000), Th at (0.000, 0.000, 0.500), Ge at (0.250, 0.250, 0.750) and Pd at (0.250, 0.250, 0.250).

Record 6
A plane-wave DFT calculation with GGA-PBE was carried out for an optimized crystal structure of TePdIN2.

The formation energy (no corrections) comes out at 1.72 eV per atom. The calculated volume is 21.13 Å³/atom. The calculation puts the density of states at the Fermi level at 4.4 states/eV/cell. The value obtained for the calculated total energy is -18.0 eV per cell. Its offset from the most stable computed form is 1.914 eV/f.u.

The space group is P4/mmm (No. 123) and the conventional cell measures 3.933, 3.933 and 6.831 Å, with angles of 90.00, 90.00 and 90.00 degrees. The distinct sites, in fractional coordinates, are Te at (0.000, 0.000, 0.000), Pd at (0.500, 0.500, 0.000), I at (0.000, 0.000, 0.500) and N at (0.000, 0.500, 0.500).

Record 7
A plane-wave DFT calculation with GGA-PBE was carried out for an optimized crystal structure of Er2H5Pd.

The calculated volume is 10.87 Å³/atom. The calculation puts the density of states at the Fermi level at 9.3 states/eV/cell. The value obtained for the calculated total energy is -137.4 eV per cell.

The space group is Fmm2 (No. 42) and the conventional cell measures 7.067, 7.090 and 6.943 Å, with angles of 90.00, 90.00 and 90.00 degrees. The distinct sites, in fractional coordinates, are Er at (0.250, 0.250, 0.000), H at (0.000, 0.000, 0.015), H at (0.000, 0.242, 0.219), H at (0.243, 0.000, 0.218) and Pd at (0.000, 0.000, 0.761).

Record 8
A plane-wave DFT calculation with GGA-PBE was carried out for an optimized crystal structure of DyZrTcAu.

The calculated volume is 20.19 Å³/atom. The calculation puts the density of states at the Fermi level at 11.7 states/eV/cell. The value obtained for the calculated total energy is -112.8 eV per cell.

The space group is F-43m (No. 216) and the conventional cell measures 6.861, 6.861 and 6.861 Å, with angles of 90.00, 90.00 and 90.00 degrees. The distinct sites, in fractional coordinates, are Dy at (0.000, 0.000, 0.000), Zr at (0.000, 0.000, 0.500), Tc at (0.250, 0.250, 0.750) and Au at (0.250, 0.250, 0.250).

Record 9
A plane-wave DFT calculation with GGA-PBE was carried out for an optimized crystal structure of GdMgHg.

The calculated volume is 25.01 Å³/atom. The calculation puts the density of states at the Fermi level at 2.5 states/eV/cell. The value obtained for the calculated total energy is -17.0 eV per cell.

The space group is P-6m2 (No. 187) and the conventional cell measures 4.9337, 4.9337 and 3.5599 Å, with angles of 90.00, 90.00 and 120.00 degrees. The distinct sites, in fractional coordinates, are Gd at (0.0000, 0.0000, 0.0000), Mg at (0.6667, 0.3333, 0.5000) and Hg at (0.3333, 0.6667, 0.5000).

Record 10
A plane-wave DFT calculation with GGA-PBE was carried out for an optimized crystal structure of La4NdY4.

The calculated volume is 34.73 Å³/atom. The calculation puts the density of states at the Fermi level at 30.4 states/eV/cell. The value obtained for the calculated total energy is -100.2 eV per cell.

The space group is P-1 (No. 2) and the conventional cell measures 6.319, 9.703 and 10.984 Å, with angles of 100.80, 106.45 and 96.20 degrees. The distinct sites, in fractional coordinates, are La at (0.247, 0.415, 0.027), La at (0.249, 0.749, 0.251), La at (0.251, 0.083, 0.140), La at (0.252, 0.749, 0.583), Nd at (0.248, 0.082, 0.804), Y at (0.247, 0.747, 0.916), Y at (0.250, 0.417, 0.363), Y at (0.250, 0.418, 0.692) and Y at (0.251, 0.084, 0.474).

Record 11
A plane-wave DFT calculation with GGA-PBE was carried out for an optimized crystal structure of LiCeNiPd.

The calculated volume is 18.22 Å³/atom. The calculation puts the density of states at the Fermi level at 21.7 states/eV/cell. The value obtained for the calculated total energy is -79.8 eV per cell.

The space group is F-43m (No. 216) and the conventional cell measures 6.631, 6.631 and 6.631 Å, with angles of 90.00, 90.00 and 90.00 degrees. The distinct sites, in fractional coordinates, are Li at (0.000, 0.000, 0.000), Ce at (0.000, 0.000, 0.500), Ni at (0.250, 0.250, 0.750) and Pd at (0.250, 0.250, 0.250).

Record 12
A plane-wave DFT calculation with GGA-PBE was carried out for an optimized crystal structure of BaSbP2.

The formation energy (no corrections) comes out at -0.16 eV per atom. The calculated volume is 25.78 Å³/atom. The calculation puts the density of states at the Fermi level at 5.0 states/eV/cell. The value obtained for the calculated total energy is -35.0 eV per cell.

The space group is Cmmm (No. 65) and the conventional cell measures 5.321, 5.940 and 6.526 Å, with angles of 90.00, 90.00 and 90.00 degrees. The distinct sites, in fractional coordinates, are Ba at (0.000, 0.000, 0.000), Sb at (0.000, 0.000, 0.500) and P at (0.000, 0.500, 0.324).

Record 13
A plane-wave DFT calculation with GGA-PBE was carried out for an optimized crystal structure of Co21B6W2.

The calculated volume is 9.83 Å³/atom. The calculation puts the density of states at the Fermi level at 99.1 states/eV/cell. The value obtained for the calculated total energy is -886.6 eV per cell.

The space group is Fm-3m (No. 225) and the conventional cell measures 10.448, 10.448 and 10.448 Å, with angles of 90.00, 90.00 and 90.00 degrees. The distinct sites, in fractional coordinates, are Co at (0.000, 0.000, 0.000), Co at (0.000, 0.169, 0.169), Co at (0.118, 0.118, 0.382), B at (0.000, 0.000, 0.274) and W at (0.250, 0.250, 0.250).

Record 14
A plane-wave DFT calculation with GGA-PBE was carried out for an optimized crystal structure of LaPm3Ho.

The calculated volume is 34.55 Å³/atom. The calculation puts the density of states at the Fermi level at 30.8 states/eV/cell. The value obtained for the calculated total energy is -91.3 eV per cell. Its offset from the most stable computed form is 0.000 eV/f.u.

The space group is C2/m (No. 12) and the conventional cell measures 17.685, 6.855 and 6.064 Å, with angles of 90.00, 109.96 and 90.00 degrees. The distinct sites, in fractional coordinates, are La at (0.000, 0.000, 0.000), La at (0.000, 0.000, 0.500), Pm at (0.154, 0.267, 0.403), Pm at (0.228, 0.000, 0.977) and Ho at (0.051, 0.500, 0.800).

Record 15
A plane-wave DFT calculation with GGA-PBE was carried out for an optimized crystal structure of Li5Pr2Hg3.

The calculated volume is 22.92 Å³/atom. The calculation puts the density of states at the Fermi level at 35.3 states/eV/cell. The value obtained for the calculated total energy is -89.8 eV per cell.

The space group is Ibam (No. 72) and the conventional cell measures 12.245, 12.349 and 6.061 Å, with angles of 90.00, 90.00 and 90.00 degrees. The distinct sites, in fractional coordinates, are Li at (0.000, 0.000, 0.250), Li at (0.141, 0.380, 0.000), Li at (0.225, 0.000, 0.250), Pr at (0.112, 0.271, 0.500), Hg at (0.000, 0.500, 0.250) and Hg at (0.129, 0.159, 0.000).

Record 16
A plane-wave DFT calculation with GGA-PBE was carried out for an optimized crystal structure of Tl2CdBi2.

The calculated volume is 33.86 Å³/atom. The calculation puts the density of states at the Fermi level at 1.5 states/eV/cell. The value obtained for the calculated total energy is -26.5 eV per cell. Its offset from the most stable computed form is 0.135 eV/f.u.

The space group is P4/mbm (No. 127) and the conventional cell measures 7.881, 7.881 and 5.452 Å, with angles of 90.00, 90.00 and 90.00 degrees. The distinct sites, in fractional coordinates, are Tl at (0.166, 0.334, 0.000), Cd at (0.000, 0.000, 0.500) and Bi at (0.140, 0.640, 0.500).

Record 17
A plane-wave DFT calculation with GGA-PBE was carried out for an optimized crystal structure of Sc3Ag2Sn4.

The calculated volume is 22.47 Å³/atom. The calculation puts the density of states at the Fermi level at 13.3 states/eV/cell. The value obtained for the calculated total energy is -88.5 eV per cell.

The space group is C2/m (No. 12) and the conventional cell measures 14.965, 4.357 and 6.736 Å, with angles of 90.00, 112.98 and 90.00 degrees. The distinct sites, in fractional coordinates, are Sc at (0.000, 0.000, 0.000), Sc at (0.120, 0.000, 0.625), Ag at (0.177, 0.500, 0.991), Sn at (0.022, 0.500, 0.305) and Sn at (0.220, 0.000, 0.302).

Record 18
A plane-wave DFT calculation with GGA-PBE was carried out for an optimized crystal structure of Li2GaHAu.

The calculated volume is 12.99 Å³/atom. The calculation puts the density of states at the Fermi level at 1.5 states/eV/cell. The value obtained for the calculated total energy is -14.9 eV per cell. Its offset from the most stable computed form is 0.180 eV/f.u.

The space group is P4/mmm (No. 123) and the conventional cell measures 4.143, 4.143 and 3.784 Å, with angles of 90.00, 90.00 and 90.00 degrees. The distinct sites, in fractional coordinates, are Li at (0.000, 0.500, 0.000), Ga at (0.000, 0.000, 0.500), H at (0.500, 0.500, 0.000) and Au at (0.500, 0.500, 0.500).

Record 19
A plane-wave DFT calculation with GGA-PBE was carried out for an optimized crystal structure of SrPuBe2O6.

The formation energy (no corrections) comes out at -2.59 eV per atom. The calculated volume is 13.03 Å³/atom. The calculation puts the density of states at the Fermi level at 9.8 states/eV/cell. The value obtained for the calculated total energy is -316.5 eV per cell.

The space group is C2/c (No. 15) and the conventional cell measures 9.936, 9.693 and 5.838 Å, with angles of 90.00, 112.07 and 90.00 degrees. The distinct sites, in fractional coordinates, are Sr at (0.000, 0.094, 0.250), Pu at (0.000, 0.299, 0.750), Be at (0.208, 0.430, 0.153), O at (0.088, 0.301, 0.105), O at (0.128, 0.126, 0.708) and O at (0.170, 0.457, 0.834).